First-principles (PBE with a Hubbard U) data for Ca5FeO6 after structural relaxation, as listed in Alexandria.

Results
As for the space group: No. 12. Its total energy is -77.46 eV per cell. For the total magnetization, the calculation gives 4.001 μB per formula unit.

Geometry as POSCAR:
```
Ca5FeO6
1.0
2.905 -5.082 0.000
2.905 5.082 0.000
-1.853 0.000 5.499
Ca Fe O
5 1 6
Cartesian
0.000 0.000 0.000
1.979 3.364 2.749
2.905 1.677 0.000
2.905 -1.677 0.000
1.979 -3.364 2.749
1.979 0.000 2.749
0.987 1.672 1.364
0.185 0.000 4.032
0.987 -1.672 1.364
2.970 1.672 4.135
3.772 0.000 1.466
2.970 -1.672 4.135
```